Material: KAl2ZnIr
Method: DFT, PBE-GGA
State: optimized geometry

Summary:
Its energy relative to the elements is 2.150 eV/atom. The total magnetization comes out at 0.0 μB per formula unit.

abc: 5.2801 5.2801 4.9593
angles: 90.00 90.00 90.00
Space group P4/mmm (No. 123)
Asymmetric unit:
K (0.0000, 0.0000, 0.0000) [1 per cell]
Al (0.0000, 0.5000, 0.0000) [2 per cell]
Zn (0.0000, 0.0000, 0.5000) [1 per cell]
Ir (0.5000, 0.5000, 0.5000) [1 per cell]